Entry 1:
Here is a crystal of Al2CoHg relaxed with PBEsol from Alexandria. Energies are from meta-GGA SCAN.

Summary:
- Energy of formation from the pure elements: -0.7 eV/f.u.
- Size of the total moment: 0.6 μB per formula unit

abc: 2.862 2.862 7.358
angles: 90.00 90.00 90.00
Fractional coordinates of all 4 atoms:
Al  0.000  0.000  0.190
Al  0.000  0.000  0.810
Co  0.500  0.500  0.000
Hg  0.500  0.500  0.500

=====

Entry 2:
Here is a crystal of Zr2AlW relaxed with PBEsol from Alexandria. Energies are from meta-GGA SCAN.

Summary:
- Energy of formation from the pure elements: 0.0 eV/f.u.
- Size of the total moment: 0.0 μB per formula unit

abc: 5.162 5.162 5.134
angles: 101.15 101.15 33.67
Fractional coordinates of all 4 atoms:
Zr  0.000  0.000  0.000
Zr  0.230  0.230  0.717
Al  0.751  0.751  0.234
W  0.476  0.476  0.468

=====

Entry 3:
Here is a crystal of MnB3Au relaxed with PBEsol from Alexandria. Energies are from meta-GGA SCAN.

Summary:
- Energy of formation from the pure elements: 5.7 eV/f.u.
- Size of the total moment: 0.0 μB per formula unit

abc: 3.813 3.813 3.813
angles: 90.00 90.00 90.00
Fractional coordinates of all 5 atoms:
Mn  0.000  0.000  0.000
B  0.000  0.000  0.500
B  0.000  0.500  0.000
B  0.500  0.000  0.000
Au  0.500  0.500  0.500

=====

Entry 4:
Here is a crystal of SrTe2Rh relaxed with PBEsol from Alexandria. Energies are from meta-GGA SCAN.

Summary:
- Size of the total moment: 0.0 μB per formula unit
- Total energy: -133.8 eV/f.u.

abc: 5.863 5.863 5.714
angles: 115.87 115.87 39.80
Fractional coordinates of all 4 atoms:
Sr  0.000  0.000  0.000
Te  0.640  0.640  0.682
Te  0.819  0.819  0.349
Rh  0.244  0.244  0.548